## a
The following is a PBE calculation of a relaxed structure of ScAgCl, from the Alexandria database.

a = 3.349 Å, b = 3.348 Å, c = 14.543 Å
α = 90.00°, β = 90.00°, γ = 120.01°
Fractional positions:
Ag 0.351 0.702 0.000
Ag 0.329 0.659 0.500
Sc 0.663 0.326 0.351
Sc 0.663 0.326 0.649
Cl 0.330 0.660 0.767
Cl 0.330 0.660 0.233

Calculated values
- spin magnetization (μB/cell) = 0.00
- symmetry = Amm2
- volume (Å³/cell) = 141



## b
The following is a PBE calculation of a relaxed structure of ScAgCl, from the Alexandria database.

a = 3.433 Å, b = 3.433 Å, c = 7.029 Å
α = 90.00°, β = 90.00°, γ = 120.00°
Site moments in Bohr magnetons follow the coordinates.
Fractional positions:
Ag 0.000 0.000 0.942  0.03
Cl 0.667 0.333 0.411  0.00
Sc 0.333 0.667 0.647  0.42

Calculated values
- spin magnetization (μB/cell) = 0.75
- symmetry = P3m1
- volume (Å³/cell) = 72



## c
The following is a PBE calculation of a relaxed structure of ScAgCl, from the Alexandria database.

a = 4.641 Å, b = 4.641 Å, c = 4.641 Å
α = 60.00°, β = 60.00°, γ = 60.00°
Site moments in Bohr magnetons follow the coordinates.
Fractional positions:
Ag 0.000 0.000 0.000  0.02
Cl 0.500 0.500 0.500  0.01
Sc 0.250 0.250 0.250  0.54

Calculated values
- spin magnetization (μB/cell) = 0.93
- symmetry = F-43m
- volume (Å³/cell) = 71



Stability, highest: b



## a
The following is a PBE calculation of a relaxed structure of ScAgCl, from the Alexandria database.

a = 7.108 Å, b = 7.108 Å, c = 3.194 Å
α = 77.03°, β = 77.01°, γ = 25.97°
Site moments in Bohr magnetons follow the coordinates.
Fractional positions:
Ag 0.034 0.034 0.966  0.01
Cl 0.288 0.288 0.712  0.00
Sc 0.678 0.678 0.322  0.35

Calculated values
- spin magnetization (μB/cell) = 0.51
- symmetry = I4mm
- volume (Å³/cell) = 69



## b
The following is a PBE calculation of a relaxed structure of ScAgCl, from the Alexandria database.

a = 4.449 Å, b = 4.449 Å, c = 3.734 Å
α = 90.00°, β = 90.00°, γ = 120.00°
Fractional positions:
Ag 0.000 0.000 0.000
Cl 0.667 0.333 0.500
Sc 0.333 0.667 0.500

Calculated values
- spin magnetization (μB/cell) = 0.00
- symmetry = P-6m2
- volume (Å³/cell) = 64



Stability, highest: a



## a
The following is a PBE calculation of a relaxed structure of Sc3AgCl, from the Alexandria database.

a = 4.756 Å, b = 4.756 Å, c = 4.756 Å
α = 90.00°, β = 90.00°, γ = 90.00°
Fractional positions:
Sc 0.000 0.500 0.000
Sc 0.000 0.000 0.500
Sc 0.500 0.000 0.000
Ag 0.500 0.500 0.500
Cl 0.000 0.000 0.000

Calculated values
- spin magnetization (μB/cell) = 0.00
- symmetry = Pm-3m
- volume (Å³/cell) = 108



## b
The following is a PBE calculation of a relaxed structure of Sc3AgCl, from the Alexandria database.

a = 5.245 Å, b = 5.245 Å, c = 5.245 Å
α = 90.00°, β = 90.00°, γ = 90.00°
Site moments in Bohr magnetons follow the coordinates.
Fractional positions:
Sc 0.000 0.500 0.000  0.19
Sc 0.000 0.000 0.500  0.17
Sc 0.500 0.000 0.000  0.24
Ag 0.000 0.000 0.000  0.00
Cl 0.500 0.500 0.500  0.02

Calculated values
- spin magnetization (μB/cell) = 1.00
- symmetry = Pm-3m
- volume (Å³/cell) = 144



Stability, highest: a



## a
The following is a PBE calculation of a relaxed structure of AgSeCl2, from the Alexandria database.

a = 4.874 Å, b = 6.189 Å, c = 5.363 Å
α = 49.91°, β = 90.00°, γ = 90.00°
Fractional positions:
Se 0.000 0.625 0.582
Ag 0.500 0.735 0.654
Cl 0.000 0.888 0.053
Cl 0.500 0.253 0.210

Calculated values
- spin magnetization (μB/cell) = 0.00
- symmetry = Pm
- volume (Å³/cell) = 124



## b
The following is a PBE calculation of a relaxed structure of AgSeCl2, from the Alexandria database.

a = 4.870 Å, b = 4.870 Å, c = 4.870 Å
α = 60.00°, β = 60.00°, γ = 60.00°
Fractional positions:
Se 0.750 0.750 0.750
Ag 0.500 0.500 0.500
Cl 0.000 0.000 0.000
Cl 0.250 0.250 0.250

Calculated values
- spin magnetization (μB/cell) = 0.00
- symmetry = F-43m
- volume (Å³/cell) = 82



## c
The following is a PBE calculation of a relaxed structure of AgSeCl2, from the Alexandria database.

a = 5.714 Å, b = 5.714 Å, c = 7.018 Å
α = 52.17°, β = 52.17°, γ = 33.09°
Fractional positions:
Se 0.750 0.750 0.750
Ag 0.250 0.250 0.250
Cl 0.987 0.987 0.013
Cl 0.513 0.513 0.487

Calculated values
- spin magnetization (μB/cell) = 0.00
- symmetry = Immm
- volume (Å³/cell) = 96



## d
The following is a PBE calculation of a relaxed structure of AgSeCl2, from the Alexandria database.

a = 8.016 Å, b = 8.016 Å, c = 8.016 Å
α = 153.03°, β = 153.03°, γ = 38.51°
Fractional positions:
Se 0.500 0.500 0.000
Ag 0.750 0.250 0.500
Cl 0.000 0.000 0.000
Cl 0.250 0.750 0.500

Calculated values
- spin magnetization (μB/cell) = 0.00
- symmetry = I-4m2
- volume (Å³/cell) = 106



Stability, highest: a



## a
The following is a PBE calculation of a relaxed structure of Ag2SeCl, from the Alexandria database.

a = 4.860 Å, b = 4.860 Å, c = 4.860 Å
α = 60.00°, β = 60.00°, γ = 60.00°
Fractional positions:
Ag 0.000 0.000 0.000
Ag 0.750 0.750 0.750
Cl 0.500 0.500 0.500
Se 0.250 0.250 0.250

Calculated values
- spin magnetization (μB/cell) = 0.00
- symmetry = F-43m
- volume (Å³/cell) = 81



## b
The following is a PBE calculation of a relaxed structure of Ag2SeCl, from the Alexandria database.

a = 3.755 Å, b = 3.755 Å, c = 7.443 Å
α = 75.39°, β = 75.39°, γ = 60.00°
Fractional positions:
Ag 0.079 0.079 0.763
Ag 0.256 0.256 0.232
Se 0.668 0.668 0.995
Cl 0.497 0.497 0.509

Calculated values
- spin magnetization (μB/cell) = 0.00
- symmetry = R3m
- volume (Å³/cell) = 87



Stability, highest: b



## a
The following is a PBE calculation of a relaxed structure of Ag2SeCl, from the Alexandria database.

a = 5.623 Å, b = 5.623 Å, c = 5.623 Å
α = 142.56°, β = 96.85°, γ = 94.97°
Fractional positions:
Ag 0.002 0.002 0.000
Ag 0.498 0.498 0.000
Cl 0.750 0.250 0.500
Se 0.250 0.750 0.500

Calculated values
- spin magnetization (μB/cell) = 0.00
- symmetry = Immm
- volume (Å³/cell) = 102



## b
The following is a PBE calculation of a relaxed structure of Ag2SeCl, from the Alexandria database.

a = 5.745 Å, b = 3.863 Å, c = 3.859 Å
α = 89.98°, β = 90.00°, γ = 90.00°
Fractional positions:
Se 0.500 0.875 0.875
Ag 0.000 0.875 0.875
Ag 0.500 0.375 0.374
Cl 0.000 0.376 0.375

Calculated values
- spin magnetization (μB/cell) = 0.00
- symmetry = P4/mmm
- volume (Å³/cell) = 86



Stability, highest: b